Run 1
Here is PrHo4Tm2 after structural relaxation from Alexandria. Energies are from PBE.

Magnetization   0.00 μB/f.u.

a = 6.1725 Å, b = 6.4817 Å, c = 11.3975 Å
α = 90.00°, β = 104.50°, γ = 90.00°
Space group P2_1/m (No. 11)
Asymmetric unit:
Pr 0.0457 0.2500 0.3634
Ho 0.1534 0.2500 0.6654
Ho 0.2957 0.7500 0.9265
Ho 0.3503 0.5076 0.2126
Tm 0.1427 0.2500 0.9506
Tm 0.3908 0.7500 0.5055

---

Run 2
Here is PrHo4Tm2 after structural relaxation from Alexandria. Energies are from PBE.

Magnetization   0.00 μB/f.u.

a = 16.5438 Å, b = 3.5144 Å, c = 8.6954 Å
α = 90.00°, β = 119.15°, γ = 90.00°
Space group C2/m (No. 12)
Asymmetric unit:
Pr 0.0000 0.0000 0.0000
Ho 0.1406 0.5000 0.8302
Ho 0.2056 0.5000 0.2946
Tm 0.0708 0.0000 0.4309

---

Quick look at relative energies in eV/atom: run 1 0.095; run 2 0.000.